{
  "formula": "CsPrCdS3",
  "functional": "PBE",
  "state": "optimized geometry",
  "relative_energy_ev_per_atom": 0.000,
  "spacegroup": "No. 63",
  "vol_a3_per_atom": 31.16,
  "m_tot_mub_per_cell": 0.01,
  "energy_ha_per_atom": -0.168,
  "lattice_angstrom": [[2.1316, -7.8932, 0.0000], [2.1316, 7.8932, 0.0000], [0.0000, 0.0000, 11.1133]],
  "species": ["Cs", "Cs", "Pr", "Pr", "Cd", "Cd", "S", "S", "S", "S", "S", "S"],
  "fractional_positions": [[0.2430, 0.7570, 0.7500], [0.7570, 0.2430, 0.2500], [0.5000, 0.5000, 0.0000], [0.5000, 0.5000, 0.5000], [0.0368, 0.9632, 0.2500], [0.9632, 0.0368, 0.7500], [0.1172, 0.8828, 0.0550], [0.1172, 0.8828, 0.4450], [0.4403, 0.5597, 0.2500], [0.5597, 0.4403, 0.7500], [0.8828, 0.1172, 0.5550], [0.8828, 0.1172, 0.9450]]
}